## Li2MnPF (PBE+U)

Data for a geometry-optimized Li2MnPF structure.

Computed properties:
For the magnetization, the calculation gives 4.18 μB per formula unit. The total DFT energy (no corrections) comes out at -4.618 eV per atom.

```
Li2MnPF
1.0
3.661 0.000 0.000
0.000 6.110 0.000
0.000 0.000 3.661
P Mn Li F
1 1 2 1
Cartesian
0.000 3.055 0.000 P
1.831 3.055 1.831 Mn
0.000 0.000 1.831 Li
1.831 0.000 0.000 Li
0.000 0.000 0.000 F
```